First-principles (GGA-PBE) data for an optimized crystal structure of Nd5GaHg3, as listed in Alexandria.

Values from the calculation:
* size of the total moment: 0.00 Bohr magnetons per cell
* space group: P6_3/mcm (193)
* calculated formation energy: -0.41 eV/atom
* total DFT energy (no corrections): -3.50 eV per atom

Lattice parameters (Å, degrees): 9.454 9.454 6.697 90.00 90.00 120.00
Sites, in units of the cell vectors:
Nd 0.000 0.272 0.250
Nd 0.000 0.728 0.750
Nd 0.272 0.000 0.250
Nd 0.272 0.272 0.750
Nd 0.333 0.667 0.000
Nd 0.333 0.667 0.500
Nd 0.667 0.333 0.000
Nd 0.667 0.333 0.500
Nd 0.728 0.000 0.750
Nd 0.728 0.728 0.250
Ga 0.000 0.000 0.000
Ga 0.000 0.000 0.500
Hg 0.000 0.386 0.750
Hg 0.000 0.614 0.250
Hg 0.386 0.000 0.750
Hg 0.386 0.386 0.250
Hg 0.614 0.000 0.250
Hg 0.614 0.614 0.750